(1)
Here is a relaxed ScGeF3 crystal from Alexandria. Energies are from PBE-GGA.

Excess energy over the best structure of this formula in the dataset: 0.0000 eV/atom
Space-group type: Pm-3m

Unit cell a=4.230 b=4.230 c=4.230 alpha=90.00 beta=90.00 gamma=90.00
Element x y z (fractional)
Sc: 0.000 0.000 0.000
Ge: 0.500 0.500 0.500
F: 0.000 0.000 0.500
F: 0.000 0.500 0.000
F: 0.500 0.000 0.000



(2)
Here is a relaxed Sc2GeF crystal from Alexandria. Energies are from PBE-GGA.

Excess energy over the best structure of this formula in the dataset: 0.6759 eV/atom
Space-group type: R-3m

Unit cell a=9.049 b=9.049 c=9.049 alpha=19.78 beta=19.78 gamma=19.78
Element x y z (fractional)
Sc: 0.101 0.101 0.101
Sc: 0.899 0.899 0.899
Ge: 0.000 0.000 0.000
F: 0.500 0.500 0.500



(3)
Here is a relaxed ScGeF3 crystal from Alexandria. Energies are from PBE-GGA.

Excess energy over the best structure of this formula in the dataset: 0.8314 eV/atom
Space-group type: Pm-3m

Unit cell a=4.409 b=4.409 c=4.409 alpha=90.00 beta=90.00 gamma=90.00
Element x y z (fractional)
Sc: 0.000 0.000 0.000
Ge: 0.500 0.500 0.500
F: 0.000 0.500 0.500
F: 0.500 0.000 0.500
F: 0.500 0.500 0.000



(4)
Here is a relaxed ScGeF2 crystal from Alexandria. Energies are from PBE-GGA.

Excess energy over the best structure of this formula in the dataset: 0.7147 eV/atom
Space-group type: Fm-3m

Unit cell a=4.328 b=4.328 c=4.328 alpha=60.00 beta=60.00 gamma=60.00
Element x y z (fractional)
Sc: 0.000 0.000 0.000
Ge: 0.500 0.500 0.500
F: 0.250 0.250 0.250
F: 0.750 0.750 0.750



(5)
Here is a relaxed Sc3GeF crystal from Alexandria. Energies are from PBE-GGA.

Excess energy over the best structure of this formula in the dataset: 0.0000 eV/atom
Space-group type: Pm-3m

Unit cell a=4.427 b=4.427 c=4.427 alpha=90.00 beta=90.00 gamma=90.00
Element x y z (fractional)
Sc: 0.000 0.000 0.500
Sc: 0.000 0.500 0.000
Sc: 0.500 0.000 0.000
Ge: 0.500 0.500 0.500
F: 0.000 0.000 0.000



(6)
Here is a relaxed ScGeF2 crystal from Alexandria. Energies are from PBE-GGA.

Excess energy over the best structure of this formula in the dataset: 0.1781 eV/atom
Space-group type: I-42d

Unit cell a=7.040 b=7.040 c=7.040 alpha=137.59 beta=137.59 gamma=61.54
Element x y z (fractional)
Sc: 0.000 0.000 0.000
Sc: 0.750 0.250 0.500
Ge: 0.250 0.750 0.500
Ge: 0.500 0.500 0.000
F: 0.375 0.173 0.298
F: 0.827 0.125 0.202
F: 0.875 0.077 0.702
F: 0.923 0.625 0.798



Short version: E_form (uncorrected) = -2.3362; -0.9134; -1.5048; -1.4051; -1.0167; -1.9417 eV per atom, in the order given.
Short version: calculated volume = 76; 74; 86; 57; 87; 157 Å³/cell, in the order given.